w | Material: LiBeNF2
Method: DFT, GGA-PBE
State: relaxed

Calculated values
M_tot, μB/cell: 2.0
SG: No. 123
Calculated volume, Å³/f.u.: 48.3
ρ, g/cm3: 2.34

Cell lengths 3.454, 3.454, 4.047 Å; angles 90.00, 90.00, 90.00 degrees
Each line ends with the local moment (μB).
Element x y z (fractional)
Be (0.500, 0.500, 0.500)  -0.04
N (0.000, 0.000, 0.500)  1.23
Li (0.000, 0.000, 0.000)  0.03
F (0.000, 0.500, 0.000)  0.15
F (0.500, 0.000, 0.000)  0.15

x | Material: LiBeNF2
Method: DFT, GGA-PBE
State: relaxed

Calculated values
M_tot, μB/cell: 2.0
SG: No. 123
Calculated volume, Å³/f.u.: 47.6
ρ, g/cm3: 2.37

Cell lengths 3.718, 3.718, 3.443 Å; angles 90.00, 90.00, 90.00 degrees
Each line ends with the local moment (μB).
Element x y z (fractional)
Be (0.000, 0.000, 0.000)  -0.03
N (0.000, 0.000, 0.500)  1.17
Li (0.500, 0.500, 0.500)  0.01
F (0.000, 0.500, 0.000)  0.11
F (0.500, 0.000, 0.000)  0.11

Order of stability, best first: x, w